An optimized crystal structure of Cd2HgAs, computed with PBE-GGA.

- ΔE to the lowest computed polymorph (meV per atom) = 75
- density of states at the Fermi level (states/eV/cell) = 0.63
- energy (Ry/atom) = -0.118

a b c (Å): 4.3434 4.2299 5.7800
angles (deg): 90.00 112.06 90.00
Space group P2/m (No. 10)
Symmetry-distinct sites (fractional):
Cd 0.1935 0.0000 0.2665 (multiplicity 2)
Hg 0.5000 0.5000 0.0000 (multiplicity 1)
As 0.0000 0.5000 0.5000 (multiplicity 1)

---

An optimized crystal structure of CaTeCl2, computed with PBE-GGA.

- ΔE to the lowest computed polymorph (meV per atom) = 107
- energy (Ry/atom) = -0.262
- E_form (uncorrected) (eV/atom) = -1.35

a b c (Å): 12.3338 4.0998 5.3379
angles (deg): 90.00 98.97 90.00
Space group C2/m (No. 12)
Symmetry-distinct sites (fractional):
Ca 0.0000 0.0000 0.0000 (multiplicity 2)
Te 0.0000 0.5000 0.5000 (multiplicity 2)
Cl 0.1497 0.5000 0.1919 (multiplicity 4)

---

An optimized crystal structure of BeP2Rh, computed with PBE-GGA.

- density of states at the Fermi level (states/eV/cell) = 3.58
- energy (Ry/atom) = -0.418

a b c (Å): 7.6266 3.5613 4.9987
angles (deg): 90.00 111.94 90.00
Space group Cm (No. 8)
Symmetry-distinct sites (fractional):
Be 0.0000 0.0000 0.0000 (multiplicity 2)
P 0.1548 0.5000 0.2508 (multiplicity 2)
P 0.2020 0.5000 0.7045 (multiplicity 2)
Rh 0.3015 0.0000 0.0230 (multiplicity 2)